[1]
Here is PuPa3C4 after structural relaxation from Alexandria via LeMat-Bulk. Energies are from PBE.

a = 5.0601 Å, b = 5.0601 Å, c = 10.1938 Å
α = 90.00°, β = 90.00°, γ = 90.00°
With the nearest neighbours (Å) after each atom.
Space group I4/mmm (No. 139)
Unique sites:
Pu 0.0000 0.0000 0.0000 (multiplicity 2)  6 C 2.53-2.61
Pa 0.0000 0.0000 0.5000 (multiplicity 2)  6 C 2.48-2.53
Pa 0.0000 0.5000 0.2500 (multiplicity 4)  6 C 2.53-2.55
C 0.0000 0.0000 0.2563 (multiplicity 4)  5 Pa 2.48-2.53, 1 Pu 2.61
C 0.0000 0.5000 0.0000 (multiplicity 4)  4 Pa 2.53-2.55, 2 Pu 2.53

Output
DFT formation energy, eV per atom: -0.317
Magnetization, μB per formula unit: 4.84


[2]
Here is PuPaC2 after structural relaxation from Alexandria via LeMat-Bulk. Energies are from PBE.

a = 3.6015 Å, b = 3.6015 Å, c = 17.3112 Å
α = 90.00°, β = 90.00°, γ = 120.00°
With the nearest neighbours (Å) after each atom.
Space group R-3m (No. 166, hexagonal axes)
Unique sites:
Pu 0.0000 0.0000 0.0000 (multiplicity 3)  6 C 2.57
Pa 0.0000 0.0000 0.5000 (multiplicity 3)  6 C 2.50
C 0.0000 0.0000 0.2464 (multiplicity 6)  3 Pa 2.50, 3 Pu 2.57

Output
DFT formation energy, eV per atom: -0.180
Energy above the lowest structure with this stoichiometry, meV/atom: 0
Magnetization, μB per formula unit: 4.87


[3]
Here is PuPaC after structural relaxation from Alexandria via LeMat-Bulk. Energies are from PBE.

a = 3.2057 Å, b = 3.2057 Å, c = 11.5735 Å
α = 90.00°, β = 90.00°, γ = 90.00°
With the nearest neighbours (Å) after each atom.
Space group I4mm (No. 107)
Unique sites:
Pu 0.0000 0.0000 0.0000 (multiplicity 2)  4 C 2.41
Pa 0.0000 0.0000 0.2406 (multiplicity 2)  1 C 2.19
C 0.0000 0.0000 0.4299 (multiplicity 2)  1 Pa 2.19, 4 Pu 2.41

Output
DFT formation energy, eV per atom: 0.393
Energy above the lowest structure with this stoichiometry, meV/atom: 558
Magnetization, μB per formula unit: 4.50


[4]
Here is Pu2PaC after structural relaxation from Alexandria via LeMat-Bulk. Energies are from PBE.

a = 3.0695 Å, b = 3.0695 Å, c = 8.1607 Å
α = 90.00°, β = 90.00°, γ = 90.00°
With the nearest neighbours (Å) after each atom.
Space group P4/mmm (No. 123)
Unique sites:
Pu 0.0000 0.0000 0.1696 (multiplicity 2)  4 C 2.57, 1 Pu 2.77
Pa 0.5000 0.5000 0.5000 (multiplicity 1)  4 Pa 3.07
C 0.5000 0.5000 0.0000 (multiplicity 1)  8 Pu 2.57

Output
DFT formation energy, eV per atom: 0.242
Energy above the lowest structure with this stoichiometry, meV/atom: 0
Magnetization, μB per formula unit: 8.99


[5]
Here is PuPa2ReC4 after structural relaxation from Alexandria via LeMat-Bulk. Energies are from PBE.

a = 3.5460 Å, b = 11.8477 Å, c = 12.0539 Å
α = 90.00°, β = 90.00°, γ = 90.00°
With the nearest neighbours (Å) after each atom.
Space group Cmcm (No. 63)
Unique sites:
Pu 0.0000 0.1138 0.2500 (multiplicity 4)  6 C 2.71-2.76
Pa 0.0000 0.3674 0.0418 (multiplicity 8)  6 C 2.40-2.64
Re 0.0000 0.1474 0.7500 (multiplicity 4)  4 C 2.01-2.03
C 0.0000 0.0000 0.0000 (multiplicity 4)  4 Pa 2.42
C 0.0000 0.2642 0.6296 (multiplicity 8)  1 Re 2.01
C 0.0000 0.4356 0.2500 (multiplicity 4)  2 Re 2.03

Output
DFT formation energy, eV per atom: -0.070
Magnetization, μB per formula unit: 4.89


[6]
Here is PuPaCS2 after structural relaxation from Alexandria via LeMat-Bulk. Energies are from PBE.

a = 3.8771 Å, b = 3.8771 Å, c = 13.8181 Å
α = 90.00°, β = 90.00°, γ = 90.00°
With the nearest neighbours (Å) after each atom.
Space group P4/nmm (No. 129, origin choice 2)
Unique sites:
Pu 0.2500 0.2500 0.1130 (multiplicity 2)  6 S 2.69-2.85
Pa 0.2500 0.2500 0.5912 (multiplicity 2)  4 C 2.31
C 0.2500 0.7500 0.5000 (multiplicity 2)  4 Pa 2.31
S 0.2500 0.2500 0.3076 (multiplicity 2)  1 Pu 2.69
S 0.2500 0.2500 0.9069 (multiplicity 2)  5 Pu 2.76-2.85

Output
Uncorrected formation energy, meV per atom: -1202
Magnetization, μB per formula unit: 5.29


[7]
Here is Pu2Pa4Sb3C2 after structural relaxation from Alexandria via LeMat-Bulk. Energies are from PBE.

a = 4.6661 Å, b = 4.6661 Å, c = 25.6503 Å
α = 90.00°, β = 90.00°, γ = 90.00°
With the nearest neighbours (Å) after each atom.
Space group I4/mmm (No. 139)
Unique sites:
Pu 0.0000 0.0000 0.1963 (multiplicity 4)  1 C 2.51
Pa 0.0000 0.5000 0.0868 (multiplicity 8)  2 C 2.35
Sb 0.0000 0.0000 0.3225 (multiplicity 4)  5 Pu 3.24-3.33, 4 Pa 3.29
Sb 0.0000 0.0000 0.5000 (multiplicity 2)  8 Pa 3.23
C 0.0000 0.0000 0.0986 (multiplicity 4)  4 Pa 2.35, 1 Pu 2.51

Output
Uncorrected formation energy, meV per atom: -395
Magnetization, μB per formula unit: 15.01


[8]
Here is PuSc2PaC4 after structural relaxation from Alexandria via LeMat-Bulk. Energies are from PBE.

a = 5.9157 Å, b = 3.4913 Å, c = 6.0212 Å
α = 90.00°, β = 109.59°, γ = 90.00°
With the nearest neighbours (Å) after each atom.
Space group P2/m (No. 10)
Unique sites:
Pu 0.0000 0.0000 0.0000 (multiplicity 1)  6 C 2.37-2.42
Sc 0.5000 0.0000 0.5000 (multiplicity 1)  6 C 2.48-2.50
Sc 0.5000 0.5000 0.0000 (multiplicity 1)  6 C 2.44-2.46
Pa 0.0000 0.5000 0.5000 (multiplicity 1)  6 C 2.44-2.45
C 0.2423 0.0000 0.7557 (multiplicity 2)  1 Pu 2.37, 2 Pa 2.45, 3 Sc 2.46-2.50
C 0.2434 0.5000 0.2441 (multiplicity 2)  2 Pu 2.42, 1 Pa 2.44, 3 Sc 2.44-2.48

Output
DFT formation energy, eV per atom: -0.269
Magnetization, μB per formula unit: 2.91


[9]
Here is PuPaCSe2 after structural relaxation from Alexandria via LeMat-Bulk. Energies are from PBE.

a = 4.0086 Å, b = 4.0086 Å, c = 14.4231 Å
α = 90.00°, β = 90.00°, γ = 90.00°
With the nearest neighbours (Å) after each atom.
Space group P4/nmm (No. 129, origin choice 2)
Unique sites:
Pu 0.2500 0.2500 0.1160 (multiplicity 2)  6 Se 2.81-3.00
Pa 0.2500 0.2500 0.5821 (multiplicity 2)  4 C 2.33
C 0.2500 0.7500 0.5000 (multiplicity 2)  4 Pa 2.33
Se 0.2500 0.2500 0.3105 (multiplicity 2)  1 Pu 2.81
Se 0.2500 0.2500 0.9080 (multiplicity 2)  5 Pu 2.86-3.00

Output
Uncorrected formation energy, meV per atom: -1067
Magnetization, μB per formula unit: 5.20


[10]
Here is Pu2PaSiC after structural relaxation from Alexandria via LeMat-Bulk. Energies are from PBE.

a = 3.4612 Å, b = 11.6875 Å, c = 8.9588 Å
α = 90.00°, β = 90.00°, γ = 90.00°
With the nearest neighbours (Å) after each atom.
Space group Cmcm (No. 63)
Unique sites:
Pu 0.0000 0.1886 0.0406 (multiplicity 8)  1 C 2.23, 2 Pu 2.36
Pa 0.0000 0.4792 0.2500 (multiplicity 4)  4 C 2.84, 2 Si 2.92
Si 0.0000 0.2225 0.7500 (multiplicity 4)  6 Pu 2.63-2.76, 2 Pa 2.92
C 0.0000 0.0000 0.0000 (multiplicity 4)  2 Pu 2.23

Output
Uncorrected formation energy, meV per atom: 66
Magnetization, μB per formula unit: 0.03


[11]
Here is PuPa2SiC4 after structural relaxation from Alexandria via LeMat-Bulk. Energies are from PBE.

a = 3.5605 Å, b = 11.6554 Å, c = 11.7836 Å
α = 90.00°, β = 90.00°, γ = 90.00°
With the nearest neighbours (Å) after each atom.
Space group Cmcm (No. 63)
Unique sites:
Pu 0.0000 0.1023 0.2500 (multiplicity 4)  6 C 2.72-2.79
Pa 0.0000 0.3695 0.0508 (multiplicity 8)  6 C 2.41-2.52
Si 0.0000 0.1648 0.7500 (multiplicity 4)  4 C 1.87-2.07
C 0.0000 0.0000 0.0000 (multiplicity 4)  4 Pa 2.42
C 0.0000 0.2636 0.6250 (multiplicity 8)  1 Si 1.87
C 0.0000 0.4259 0.2500 (multiplicity 4)  2 Si 2.07

Output
Uncorrected formation energy, meV per atom: -159
Magnetization, μB per formula unit: 5.34


[12]
Here is Pu2PaSiC4 after structural relaxation from Alexandria via LeMat-Bulk. Energies are from PBE.

a = 3.4437 Å, b = 11.2526 Å, c = 11.7328 Å
α = 90.00°, β = 90.00°, γ = 90.00°
With the nearest neighbours (Å) after each atom.
Space group Cmcm (No. 63)
Unique sites:
Pu 0.0000 0.1320 0.0503 (multiplicity 8)  6 C 2.35-2.53
Pa 0.0000 0.3963 0.2500 (multiplicity 4)  6 C 2.56-2.61
Si 0.0000 0.3375 0.7500 (multiplicity 4)  4 C 1.87-2.04
C 0.0000 0.0648 0.2500 (multiplicity 4)  2 Si 2.04
C 0.0000 0.2266 0.6309 (multiplicity 8)  1 Si 1.87
C 0.0000 0.5000 0.0000 (multiplicity 4)  4 Pu 2.35

Output
Uncorrected formation energy, meV per atom: -48
Magnetization, μB per formula unit: 8.31